VASP calculation (PBE-GGA) on crystalline LiCaBr4 at its relaxed geometry.

Unit cell a=6.4988 b=6.4988 c=6.4988 alpha=60.00 beta=60.00 gamma=60.00
Last column: nearest neighbours and their distance in Å.
Element x y z (fractional)
1 Li 0.0000 0.0000 0.0000  12 Br 3.81, 4 Ca 3.98
2 Ca 0.2500 0.2500 0.2500  12 Br 3.81, 4 Li 3.98
3 Br 0.1253 0.6249 0.6249  6 Br 3.25
4 Br 0.6249 0.1253 0.6249  6 Br 3.25
5 Br 0.6249 0.6249 0.1253  6 Br 3.25
6 Br 0.6249 0.6249 0.6249  6 Br 3.25

Properties
The calculation puts the uncorrected formation energy at -0.379 eV per atom. Its total magnetization is 1.06 μB per cell.

---

VASP calculation (PBE-GGA) on crystalline CdGaTcW2 at its relaxed geometry.

Unit cell a=4.6604 b=4.6604 c=4.5882 alpha=90.00 beta=90.00 gamma=90.00
Last column: nearest neighbours and their distance in Å.
Element x y z (fractional)
1 Cd 0.0000 0.0000 0.0000  2 Ga 2.29
2 Ga 0.0000 0.0000 0.5000  2 Cd 2.29, 4 W 2.33
3 Tc 0.5000 0.5000 0.0000  8 W 3.27, 4 Cd 3.30
4 W 0.0000 0.5000 0.5000  2 Ga 2.33
5 W 0.5000 0.0000 0.5000  2 Ga 2.33

Properties
For the formation energy, the calculation gives 1918 meV/atom. Its total magnetization is 1.31 μB per cell.

---

VASP calculation (PBE-GGA) on crystalline Ac4La15Sm at its relaxed geometry.

Unit cell a=5.3356 b=5.3356 c=26.7383 alpha=90.00 beta=90.00 gamma=90.00
Last column: nearest neighbours and their distance in Å.
Element x y z (fractional)
1 Ac 0.0000 0.0000 0.1007  12 La 3.77-3.79
2 Ac 0.0000 0.0000 0.3019  12 La 3.77-3.81
3 Ac 0.0000 0.0000 0.6981  12 La 3.77-3.81
4 Ac 0.0000 0.0000 0.8993  12 La 3.77-3.79
5 La 0.0000 0.5000 0.0000  8 La 3.77-3.80, 4 Ac 3.79
6 La 0.0000 0.5000 0.2010  8 La 3.77-3.83, 4 Ac 3.78-3.79
7 La 0.0000 0.5000 0.4034  8 La 3.71-3.78, 2 Sm 3.71, 2 Ac 3.81
8 La 0.0000 0.5000 0.5966  8 La 3.71-3.78, 2 Sm 3.71, 2 Ac 3.81
9 La 0.0000 0.5000 0.7990  8 La 3.77-3.83, 4 Ac 3.78-3.79
10 La 0.5000 0.0000 0.0000  8 La 3.77-3.80, 4 Ac 3.79
11 La 0.5000 0.0000 0.2010  8 La 3.77-3.83, 4 Ac 3.78-3.79
12 La 0.5000 0.0000 0.4034  8 La 3.71-3.78, 2 Sm 3.71, 2 Ac 3.81
13 La 0.5000 0.0000 0.5966  8 La 3.71-3.78, 2 Sm 3.71, 2 Ac 3.81
14 La 0.5000 0.0000 0.7990  8 La 3.77-3.83, 4 Ac 3.78-3.79
15 La 0.5000 0.5000 0.1010  4 Ac 3.77, 8 La 3.78-3.80
16 La 0.5000 0.5000 0.3035  4 Ac 3.77, 8 La 3.78-3.83
17 La 0.5000 0.5000 0.5000  8 La 3.71, 4 Sm 3.77
18 La 0.5000 0.5000 0.6965  4 Ac 3.77, 8 La 3.78-3.83
19 La 0.5000 0.5000 0.8990  4 Ac 3.77, 8 La 3.78-3.80
20 Sm 0.0000 0.0000 0.5000  12 La 3.71-3.77

Properties
For the formation energy, the calculation gives 17 meV/atom. Its total magnetization is 0.00 μB per cell.

---

VASP calculation (PBE-GGA) on crystalline Pm4ScPb2 at its relaxed geometry.

Unit cell a=5.8804 b=5.8804 c=13.0645 alpha=90.00 beta=90.00 gamma=90.00
Last column: nearest neighbours and their distance in Å.
Element x y z (fractional)
1 Pm 0.0000 0.5000 0.0000  2 Sc 2.94, 2 Pm 3.27
2 Pm 0.0000 0.5000 0.2500  2 Pm 3.27, 4 Pb 3.33
3 Pm 0.0000 0.5000 0.5000  2 Sc 2.94, 2 Pm 3.27
4 Pm 0.0000 0.5000 0.7500  2 Pm 3.27, 4 Pb 3.33
5 Pm 0.5000 0.0000 0.0000  2 Sc 2.94, 2 Pm 3.27
6 Pm 0.5000 0.0000 0.2500  2 Pm 3.27, 4 Pb 3.33
7 Pm 0.5000 0.0000 0.5000  2 Sc 2.94, 2 Pm 3.27
8 Pm 0.5000 0.0000 0.7500  2 Pm 3.27, 4 Pb 3.33
9 Sc 0.0000 0.0000 0.0000  4 Pm 2.94
10 Sc 0.5000 0.5000 0.5000  4 Pm 2.94
11 Pb 0.0000 0.0000 0.3696  8 Pm 3.33-3.40, 1 Pb 3.41
12 Pb 0.0000 0.0000 0.6304  8 Pm 3.33-3.40, 1 Pb 3.41
13 Pb 0.5000 0.5000 0.1304  8 Pm 3.33-3.40, 1 Pb 3.41
14 Pb 0.5000 0.5000 0.8696  8 Pm 3.33-3.40, 1 Pb 3.41

Properties
For the formation energy, the calculation gives 54 meV/atom. Its total magnetization is 0.00 μB per cell.

---

VASP calculation (PBE-GGA) on crystalline RbHfRu2 at its relaxed geometry.

Unit cell a=6.7497 b=6.7497 c=6.7497 alpha=90.00 beta=90.00 gamma=90.00
Last column: nearest neighbours and their distance in Å.
Element x y z (fractional)
1 Rb 0.0000 0.0000 0.0000  8 Ru 2.92
2 Rb 0.0000 0.5000 0.5000  8 Ru 2.92
3 Rb 0.5000 0.0000 0.5000  8 Ru 2.92
4 Rb 0.5000 0.5000 0.0000  8 Ru 2.92
5 Hf 0.0000 0.0000 0.5000  8 Ru 2.92
6 Hf 0.0000 0.5000 0.0000  8 Ru 2.92
7 Hf 0.5000 0.0000 0.0000  8 Ru 2.92
8 Hf 0.5000 0.5000 0.5000  8 Ru 2.92
9 Ru 0.2500 0.2500 0.2500  4 Hf 2.92, 4 Rb 2.92
10 Ru 0.2500 0.2500 0.7500  4 Hf 2.92, 4 Rb 2.92
11 Ru 0.2500 0.7500 0.2500  4 Hf 2.92, 4 Rb 2.92
12 Ru 0.2500 0.7500 0.7500  4 Hf 2.92, 4 Rb 2.92
13 Ru 0.7500 0.2500 0.2500  4 Hf 2.92, 4 Rb 2.92
14 Ru 0.7500 0.2500 0.7500  4 Hf 2.92, 4 Rb 2.92
15 Ru 0.7500 0.7500 0.2500  4 Hf 2.92, 4 Rb 2.92
16 Ru 0.7500 0.7500 0.7500  4 Hf 2.92, 4 Rb 2.92

Properties
For the formation energy, the calculation gives 1014 meV/atom. Its total magnetization is 0.00 μB per cell.

---

VASP calculation (PBE-GGA) on crystalline ScRhF3 at its relaxed geometry.

Unit cell a=4.2609 b=4.2609 c=4.2609 alpha=90.00 beta=90.00 gamma=90.00
Last column: nearest neighbours and their distance in Å.
Element x y z (fractional)
1 Sc 0.0000 0.0000 0.0000  12 F 3.01
2 Rh 0.5000 0.5000 0.5000  6 F 2.13
3 F 0.0000 0.5000 0.5000  2 Rh 2.13
4 F 0.5000 0.0000 0.5000  2 Rh 2.13
5 F 0.5000 0.5000 0.0000  2 Rh 2.13

Properties
The calculation puts the uncorrected formation energy at -1.126 eV per atom. Its total magnetization is 0.00 μB per cell.